Tb2Y2Ag3 | PBE-GGA | optimized geometry

Total magnetization in μB/atom: 0.00
Formation enthalpy at 0 K in eV per formula unit: -1.1

Cell and atoms, written as POSCAR:
```
Tb2Y2Ag3
1.0
4.925 0.002 -1.384
-2.652 4.375 -0.001
-0.215 -0.128 8.794
Tb Ag Y
2 3 2
Cartesian
1.229 3.742 4.407
0.829 0.507 3.002
1.641 0.999 5.907
0.000 0.000 0.000
0.417 3.250 1.502
-0.630 2.612 7.283
2.689 1.636 0.126
```

K2NpF6 | PBE-GGA | optimized geometry

Total magnetization in μB/atom: 0.33
Formation energy (no corrections) in kJ per mole of atoms: -314.7

Cell and atoms, written as POSCAR:
```
K2NpF6
1.0
-1.272 2.956 4.762
-3.264 -4.360 1.834
9.339 -4.712 5.419
F K Np
12 4 2
Cartesian
4.974 -5.016 9.150
0.475 -4.760 4.321
-0.172 -1.100 2.866
1.347 -3.384 7.540
-1.793 -1.602 5.223
6.595 -4.514 6.793
3.047 -6.058 5.813
3.455 -2.732 4.476
-1.735 1.257 4.082
4.327 -1.356 7.695
-2.802 -2.661 2.514
1.755 -0.059 6.203
0.867 -2.284 5.118
7.805 -3.938 4.529
1.534 -0.774 0.890
3.935 -3.832 6.898
4.669 -2.356 2.710
-2.268 -0.702 3.298
```